[1]
Density functional theory data (PBE) for a relaxed structure of RbAuI3.

It has space group Fd-3m (No. 227, origin choice 2), with a = 15.278 Å, b = 15.278 Å, c = 15.278 Å, α = 90.00°, β = 90.00° and γ = 90.00°. Symmetry generates all atoms from Rb at (0.000, 0.000, 0.000), Au at (0.000, 0.000, 0.500) and I at (0.074, 0.375, 0.875).

As for the density: 4940 kg/m³. The total DFT energy (no corrections) is -2.300 eV per atom. The uncorrected formation energy is -2.61 eV/f.u. Its density of states at the Fermi level is 1.2 states/eV/f.u.

[2]
Density functional theory data (PBE) for a relaxed structure of LaAsSe2.

It has space group Pm (No. 6), with a = 4.047 Å, b = 3.907 Å, c = 7.698 Å, α = 90.00°, β = 93.20° and γ = 90.00°. Symmetry generates all atoms from La at (0.000, 0.000, 0.000), As at (0.045, 0.500, 0.631), Se at (0.440, 0.000, 0.688) and Se at (0.513, 0.500, 0.132).

As for the density: 5079 kg/m³. The total DFT energy (no corrections) is -5.212 eV per atom. The uncorrected formation energy is -4.30 eV/f.u.

[3]
Density functional theory data (PBE) for a relaxed structure of Al2Bi2Ru.

It has space group I4/mmm (No. 139), with a = 4.330 Å, b = 4.330 Å, c = 13.589 Å, α = 90.00°, β = 90.00° and γ = 90.00°. Symmetry generates all atoms from Al at (0.000, 0.000, 0.090), Bi at (0.000, 0.500, 0.250) and Ru at (0.000, 0.000, 0.500).

As for the density: 7468 kg/m³. The calculation puts the energy relative to the lowest polymorph listed for this composition at 756 meV per atom. The total DFT energy (no corrections) is -3.909 eV per atom. Its density of states at the Fermi level is 3.9 states/eV/f.u.

> Which of these has the highest total DFT energy (no corrections)?

RbAuI3